(1)
The following is a meta-GGA SCAN calculation of a PBEsol-optimized structure of Y2AlHg, from Alexandria.

Summary:
distance to the lowest polymorph of the same formula = 40 meV/atom
crystal system = cubic
formation energy = -0.577 eV per atom
total moment = 0.02 μB per formula unit
DFT total energy = -535.64 eV per cell

Cell lengths 7.2584, 7.2584, 7.2584 Å; angles 90.00, 90.00, 90.00 degrees
Positions (direct):
1 Y 0.2500 0.2500 0.2500
2 Y 0.2500 0.2500 0.7500
3 Y 0.2500 0.7500 0.2500
4 Y 0.2500 0.7500 0.7500
5 Y 0.7500 0.2500 0.2500
6 Y 0.7500 0.2500 0.7500
7 Y 0.7500 0.7500 0.2500
8 Y 0.7500 0.7500 0.7500
9 Al 0.0000 0.0000 0.0000
10 Al 0.0000 0.5000 0.5000
11 Al 0.5000 0.0000 0.5000
12 Al 0.5000 0.5000 0.0000
13 Hg 0.0000 0.0000 0.5000
14 Hg 0.0000 0.5000 0.0000
15 Hg 0.5000 0.0000 0.0000
16 Hg 0.5000 0.5000 0.5000

(2)
The following is a meta-GGA SCAN calculation of a PBEsol-optimized structure of La2PBr2, from Alexandria.

Summary:
formation energy (no corrections) = -2.050 eV per atom
crystal system = trigonal
total moment = 0.00 μB per formula unit
DFT total energy = -145.78 eV per cell

Cell lengths 4.2063, 4.2063, 10.2092 Å; angles 90.00, 90.00, 120.00 degrees
Positions (direct):
1 La 0.3333 0.6667 0.3407
2 La 0.6667 0.3333 0.6593
3 P 0.0000 0.0000 0.5000
4 Br 0.3333 0.6667 0.8402
5 Br 0.6667 0.3333 0.1598

(3)
The following is a meta-GGA SCAN calculation of a PBEsol-optimized structure of Li10GeP2O12, from Alexandria.

Summary:
formation energy (no corrections) = -2.402 eV per atom
crystal system = triclinic
total moment = 0.00 μB per formula unit
DFT total energy = -397.21 eV per cell

Cell lengths 6.6513, 7.1519, 10.3959 Å; angles 90.40, 90.60, 90.23 degrees
Positions (direct):
1 Li 0.0000 0.0000 0.0000
2 Li 0.0024 0.0211 0.5018
3 Li 0.0152 0.5844 0.2690
4 Li 0.0593 0.9862 0.7513
5 Li 0.2560 0.3254 0.0891
6 Li 0.2760 0.6963 0.7742
7 Li 0.2891 0.8248 0.2737
8 Li 0.3052 0.2822 0.5896
9 Li 0.4966 0.0251 0.1518
10 Li 0.5112 0.9703 0.6601
11 Li 0.5133 0.5731 0.2851
12 Li 0.5173 0.4112 0.9011
13 Li 0.5289 0.0572 0.9058
14 Li 0.5644 0.6024 0.5790
15 Li 0.6006 0.0089 0.4079
16 Li 0.7421 0.6823 0.0858
17 Li 0.7747 0.3200 0.3981
18 Li 0.9840 0.4050 0.9053
19 Li 0.9885 0.9689 0.2563
20 Li 0.9943 0.5127 0.6443
21 Ge 0.2473 0.7576 0.5084
22 Ge 0.7591 0.2724 0.1364
23 P 0.2600 0.7412 0.0271
24 P 0.2608 0.2588 0.3407
25 P 0.7515 0.2404 0.6644
26 P 0.7612 0.7342 0.8312
27 O 0.0536 0.7897 0.3936
28 O 0.0699 0.7662 0.1134
29 O 0.0705 0.2516 0.4245
30 O 0.2379 0.9575 0.6117
31 O 0.2594 0.5521 0.9525
32 O 0.2601 0.0878 0.2463
33 O 0.2613 0.4405 0.2598
34 O 0.2609 0.9044 0.9278
35 O 0.2626 0.5560 0.6045
36 O 0.4467 0.7588 0.1190
37 O 0.4508 0.2514 0.4268
38 O 0.4754 0.7628 0.4206
39 O 0.5358 0.2394 0.0419
40 O 0.5564 0.2257 0.7466
41 O 0.5726 0.7412 0.7425
42 O 0.7399 0.0842 0.2487
43 O 0.7490 0.5597 0.9187
44 O 0.7499 0.4165 0.5793
45 O 0.7520 0.0628 0.5769
46 O 0.7598 0.4827 0.2274
47 O 0.7655 0.9101 0.9186
48 O 0.9494 0.2495 0.7455
49 O 0.9563 0.7254 0.7522
50 O 0.9808 0.2477 0.0490

(4)
The following is a meta-GGA SCAN calculation of a PBEsol-optimized structure of KNbNF2, from Alexandria.

Summary:
formation energy (no corrections) = 0.172 eV per atom
distance to the lowest polymorph of the same formula = 2175 meV/atom
crystal system = tetragonal
total moment = 1.00 μB per formula unit
DFT total energy = -56.97 eV per cell

Cell lengths 4.3032, 4.3032, 4.7216 Å; angles 90.00, 90.00, 90.00 degrees
Positions (direct):
1 K 0.0000 0.0000 0.0000
2 Nb 0.5000 0.5000 0.5000
3 N 0.0000 0.0000 0.5000
4 F 0.0000 0.5000 0.0000
5 F 0.5000 0.0000 0.0000

(5)
The following is a meta-GGA SCAN calculation of a PBEsol-optimized structure of Re2RuAu, from Alexandria.

Summary:
distance to the lowest polymorph of the same formula = 0 meV/atom
crystal system = tetragonal
formation energy = 0.306 eV per atom
total moment = 0.00 μB per formula unit
DFT total energy = -489.91 eV per cell

Cell lengths 3.9078, 3.9078, 7.6556 Å; angles 90.00, 90.00, 90.00 degrees
Positions (direct):
1 Re 0.0000 0.0000 0.0000
2 Re 0.0000 0.5000 0.2500
3 Re 0.5000 0.0000 0.7500
4 Re 0.5000 0.5000 0.5000
5 Ru 0.0000 0.0000 0.5000
6 Ru 0.5000 0.5000 0.0000
7 Au 0.0000 0.5000 0.7500
8 Au 0.5000 0.0000 0.2500

(6)
The following is a meta-GGA SCAN calculation of a PBEsol-optimized structure of Zn2PIr, from Alexandria.

Summary:
crystal system = monoclinic
formation energy = -0.139 eV per atom
total moment = 0.00 μB per formula unit
DFT total energy = -109.09 eV per cell

Cell lengths 3.0093, 3.9032, 5.0249 Å; angles 90.00, 107.55, 90.00 degrees
Positions (direct):
1 Zn 0.0000 0.0000 0.0000
2 Zn 0.3453 0.5000 0.6879
3 P 0.7445 0.0000 0.4868
4 Ir 0.6118 0.5000 0.2231